A plane-wave DFT calculation with GGA-PBE was carried out for crystalline HoScCu4 at its relaxed geometry.

## Properties
M_tot, μB per formula unit: 0.00
E above lowest polymorph, meV per atom: 42
SG: No. 216
Energy of formation from the pure elements, kJ per mole of atoms: -19
Theoretical density, Mg/m³: 7.97
Calculated total energy, eV/atom: -4.750

abc: 5.1511 5.1511 5.1511
angles: 60.00 60.00 60.00
Atoms (fractional coordinates):
Ho 0.0000 0.0000 0.0000
Sc 0.7500 0.7500 0.7500
Cu 0.3758 0.3758 0.3758
Cu 0.3758 0.3758 0.8726
Cu 0.3758 0.8726 0.3758
Cu 0.8726 0.3758 0.3758